Record 1
Here is a relaxed LaPrIr2 crystal from Alexandria via LeMat-Bulk. Energies are from PBE.

Lattice parameters (Å, degrees): 5.072 5.072 5.072 60.00 60.00 60.00
Element x y z (fractional)
La  0.500  0.500  0.500
Pr  0.000  0.000  0.000
Ir  0.250  0.250  0.250
Ir  0.750  0.750  0.750

M_tot   0.000 μB/atom
E_tot   -7.38 eV/atom


Record 2
Here is a relaxed AcErAs2 crystal from Alexandria via LeMat-Bulk. Energies are from PBE.

Lattice parameters (Å, degrees): 4.245 4.245 7.749 74.10 74.10 60.00
Element x y z (fractional)
Ac  0.498  0.498  0.507
Er  0.669  0.669  0.994
As  0.075  0.075  0.776
As  0.259  0.259  0.223

M_tot   0.000 μB/atom
E_tot   -5.84 eV/atom


Record 3
Here is a relaxed AcPaAl2Ga5 crystal from Alexandria via LeMat-Bulk. Energies are from PBE.

Lattice parameters (Å, degrees): 4.402 4.402 10.028 90.00 90.00 90.00
Element x y z (fractional)
Ac  0.000  0.000  0.500
Pa  0.000  0.000  0.000
Al  0.500  0.500  0.120
Al  0.500  0.500  0.880
Ga  0.000  0.500  0.257
Ga  0.500  0.000  0.257
Ga  0.000  0.500  0.743
Ga  0.500  0.000  0.743
Ga  0.500  0.500  0.500

M_tot   0.075 μB/atom
E_tot   -4.24 eV/atom


Going through the records in order, we get ρ values of 12.0; 7.9; 7.4 g/cm3.